Version w
Material: NaNdEu
Method: DFT, GGA-PBE
State: relaxed

Calculated values
DOS(E_F) = 2.2333 states/eV/atom
Crystal system = tetragonal
Total magnetic moment = 7.63 μB/f.u.

Unit cell a=8.936 b=8.936 c=8.936 alpha=156.54 beta=156.54 gamma=33.41
Fractional coordinates of all 3 atoms:
Na: 0.000 0.000 0.000
Nd: 0.665 0.665 0.000
Eu: 0.325 0.325 0.000

***

Version x
Material: NaNdEu
Method: DFT, GGA-PBE
State: relaxed

Calculated values
DOS(E_F) = 1.0711 states/eV/atom
Crystal system = trigonal
Total magnetic moment = 7.78 μB/f.u.

Unit cell a=3.719 b=3.719 c=9.485 alpha=90.00 beta=90.00 gamma=120.00
Fractional coordinates of all 3 atoms:
Na: 0.000 0.000 0.000
Nd: 0.333 0.667 0.667
Eu: 0.667 0.333 0.349

***

It is version w that is the least stable of them.